Entry from the Alexandria database: a geometry-optimized CaTbY2Tl4 structure (PBE).

Computed properties:
DFT total energy (eV per atom): -4.01
DOS at the Fermi energy (states/eV per atom): 0.680

Lattice parameters (Å, degrees): 5.3987 5.3987 9.3836 73.28 73.28 60.00
Element x y z (fractional)
Ca: 0.0000 0.0000 0.0000
Tb: 0.5000 0.5000 0.5000
Y: 0.7477 0.7477 0.7568
Y: 0.2523 0.2523 0.2432
Tl: 0.3764 0.3764 0.8708
Tl: 0.8739 0.8739 0.3783
Tl: 0.1261 0.1261 0.6217
Tl: 0.6236 0.6236 0.1292